Below is a geometry-optimized VSiS2Cl structure, with properties calculated at the PBE level.

Computed properties:
The calculation puts the raw formation energy at 0.067 eV per atom. As for the space group: P4/mmm.

```
data_VSiS2Cl
_chemical_formula_sum 'V1 Si1 S2 Cl1'
_space_group_name_H-M_alt 'P 1'
_space_group_IT_number 1
_cell_length_a 4.646
_cell_length_b 4.646
_cell_length_c 4.538
_cell_angle_alpha 90.00
_cell_angle_beta 90.00
_cell_angle_gamma 90.00
loop_
_space_group_symop_operation_xyz
'x,y,z'
loop_
_atom_site_label
_atom_site_fract_x
_atom_site_fract_y
_atom_site_fract_z
_atom_site_occupancy
S1 0.000 0.500 0.000 1
S2 0.500 0.000 0.000 1
Cl1 0.000 0.000 0.500 1
Si1 0.500 0.500 0.500 1
V1 0.000 0.000 0.000 1
```

***

Below is a geometry-optimized Zr2SbPd structure, with properties calculated at the PBE level.

Computed properties:
The calculation puts the raw formation energy at -0.579 eV per atom. As for the space group: P4/mmm.

```
data_Zr2SbPd
_chemical_formula_sum 'Zr2 Sb1 Pd1'
_space_group_name_H-M_alt 'P 1'
_space_group_IT_number 1
_cell_length_a 4.338
_cell_length_b 4.323
_cell_length_c 4.323
_cell_angle_alpha 90.00
_cell_angle_beta 90.00
_cell_angle_gamma 90.00
loop_
_space_group_symop_operation_xyz
'x,y,z'
loop_
_atom_site_label
_atom_site_fract_x
_atom_site_fract_y
_atom_site_fract_z
_atom_site_occupancy
Sb1 0.500 0.500 0.500 1
Zr1 0.000 0.000 0.500 1
Zr2 0.000 0.500 0.000 1
Pd1 0.500 0.000 0.000 1
```

***

Below is a geometry-optimized Ac3Tm2Tl4 structure, with properties calculated at the PBE level.

Computed properties:
The formation energy comes out at -2.51 eV/f.u. As for the space group: C2/m.

```
data_Ac3Tm2Tl4
_chemical_formula_sum 'Ac3 Tm2 Tl4'
_space_group_name_H-M_alt 'P 1'
_space_group_IT_number 1
_cell_length_a 5.096
_cell_length_b 7.019
_cell_length_c 9.623
_cell_angle_alpha 75.01
_cell_angle_beta 74.65
_cell_angle_gamma 68.72
loop_
_space_group_symop_operation_xyz
'x,y,z'
loop_
_atom_site_label
_atom_site_fract_x
_atom_site_fract_y
_atom_site_fract_z
_atom_site_occupancy
Ac1 0.362 0.586 0.690 1
Ac2 0.000 0.000 0.000 1
Ac3 0.638 0.414 0.310 1
Tm1 0.346 0.982 0.326 1
Tm2 0.654 0.018 0.674 1
Tl1 0.306 0.343 0.045 1
Tl2 0.694 0.657 0.955 1
Tl3 0.078 0.255 0.590 1
Tl4 0.922 0.745 0.410 1
```

***

Below is a geometry-optimized As2AuCl2 structure, with properties calculated at the PBE level.

Computed properties:
The calculation puts the raw formation energy at 0.356 eV per atom. As for the space group: I4/mmm.

```
data_As2AuCl2
_chemical_formula_sum 'As2 Au1 Cl2'
_space_group_name_H-M_alt 'P 1'
_space_group_IT_number 1
_cell_length_a 3.621
_cell_length_b 3.621
_cell_length_c 9.081
_cell_angle_alpha 78.50
_cell_angle_beta 78.50
_cell_angle_gamma 90.00
loop_
_space_group_symop_operation_xyz
'x,y,z'
loop_
_atom_site_label
_atom_site_fract_x
_atom_site_fract_y
_atom_site_fract_z
_atom_site_occupancy
As1 0.750 0.250 0.500 1
As2 0.250 0.750 0.500 1
Au1 0.000 0.000 0.000 1
Cl1 0.408 0.408 0.183 1
Cl2 0.592 0.592 0.817 1
```

***

Below is a geometry-optimized LiZrPd4 structure, with properties calculated at the PBE level.

Computed properties:
The formation energy comes out at -3.04 eV/f.u. As for the space group: C2/m.

```
data_LiZrPd4
_chemical_formula_sum 'Li2 Zr2 Pd8'
_space_group_name_H-M_alt 'P 1'
_space_group_IT_number 1
_cell_length_a 4.811
_cell_length_b 8.709
_cell_length_c 4.767
_cell_angle_alpha 90.00
_cell_angle_beta 105.34
_cell_angle_gamma 90.00
loop_
_space_group_symop_operation_xyz
'x,y,z'
loop_
_atom_site_label
_atom_site_fract_x
_atom_site_fract_y
_atom_site_fract_z
_atom_site_occupancy
Li1 0.000 0.000 0.000 1
Li2 0.500 0.500 0.000 1
Zr1 0.500 0.000 0.500 1
Zr2 0.000 0.500 0.500 1
Pd1 0.999 0.665 0.000 1
Pd2 0.501 0.165 0.000 1
Pd3 0.500 0.338 0.500 1
Pd4 0.000 0.838 0.500 1
Pd5 0.001 0.335 0.000 1
Pd6 0.499 0.835 0.000 1
Pd7 0.500 0.662 0.500 1
Pd8 0.000 0.162 0.500 1
```

***

Below is a geometry-optimized Ba2HgPb3Au4 structure, with properties calculated at the PBE level.

Computed properties:
The formation energy comes out at -4.35 eV/f.u. As for the space group: P-4m2.

```
data_Ba2HgPb3Au4
_chemical_formula_sum 'Ba2 Hg1 Pb3 Au4'
_space_group_name_H-M_alt 'P 1'
_space_group_IT_number 1
_cell_length_a 5.117
_cell_length_b 5.117
_cell_length_c 11.108
_cell_angle_alpha 90.00
_cell_angle_beta 90.00
_cell_angle_gamma 90.00
loop_
_space_group_symop_operation_xyz
'x,y,z'
loop_
_atom_site_label
_atom_site_fract_x
_atom_site_fract_y
_atom_site_fract_z
_atom_site_occupancy
Ba1 0.500 0.000 0.244 1
Ba2 0.000 0.500 0.756 1
Hg1 0.500 0.500 0.500 1
Pb1 0.000 0.000 0.500 1
Pb2 0.500 0.000 0.877 1
Pb3 0.000 0.500 0.123 1
Au1 0.500 0.500 0.000 1
Au2 0.000 0.000 0.000 1
Au3 0.500 0.000 0.623 1
Au4 0.000 0.500 0.377 1
```

***

Below is a geometry-optimized Ta2ZnBr structure, with properties calculated at the PBE level.

Computed properties:
The calculation puts the raw formation energy at 0.816 eV per atom. As for the space group: P4/mmm.

```
data_Ta2ZnBr
_chemical_formula_sum 'Ta2 Zn1 Br1'
_space_group_name_H-M_alt 'P 1'
_space_group_IT_number 1
_cell_length_a 4.611
_cell_length_b 4.020
_cell_length_c 4.020
_cell_angle_alpha 90.00
_cell_angle_beta 90.00
_cell_angle_gamma 90.00
loop_
_space_group_symop_operation_xyz
'x,y,z'
loop_
_atom_site_label
_atom_site_fract_x
_atom_site_fract_y
_atom_site_fract_z
_atom_site_occupancy
Br1 0.500 0.000 0.500 1
Ta1 0.000 0.000 0.000 1
Ta2 0.000 0.500 0.500 1
Zn1 0.500 0.500 0.000 1
```